(1)
First-principles (PBE) data for crystalline LaAl2ZnFe at its relaxed geometry, as listed in the Alexandria database.

Computed properties:
The relative energy among the computed polymorphs comes out at 66.1 kJ/mol of atoms. For the density of states at the Fermi level, the calculation gives 1.7069 states/eV/atom. The total energy is -20.31 eV per cell. Its total magnetic moment is 0.00 μB/cell.

Cell lengths 4.6405, 4.7271, 4.6405 Å; angles 90.00, 90.00, 90.00 degrees
Fractional coordinates of all 5 atoms:
Al: 0.5000 0.0000 0.0000
Al: 0.0000 0.0000 0.5000
Fe: 0.0000 0.5000 0.0000
Zn: 0.0000 0.0000 0.0000
La: 0.5000 0.5000 0.5000

=====

(2)
First-principles (PBE) data for crystalline HfFeS at its relaxed geometry, as listed in the Alexandria database.

Computed properties:
For the density of states at the Fermi level, the calculation gives 0.5971 states/eV/atom. The total energy is -46.91 eV per cell. Its total magnetic moment is 4.78 μB/cell.

Cell lengths 4.2818, 4.2818, 7.2702 Å; angles 72.87, 72.87, 60.00 degrees
Fractional coordinates of all 6 atoms:
Fe: 0.1459 0.1459 0.5623
Fe: 0.8541 0.8541 0.4377
Hf: 0.7286 0.7286 0.8142
Hf: 0.2714 0.2714 0.1858
S: 0.3992 0.3992 0.8025
S: 0.6008 0.6008 0.1975

=====

- Look up the total magnetic moment of the first one.
  0.00 μB/cell

=====

- What is the formula in the first record?
  LaAl2ZnFe

=====

- Which of these has the highest total magnetic moment?
  HfFeS